# BaLaSe4

An optimized crystal structure of BaLaSe4 (GGA-PBE, Alexandria).

Geometry as POSCAR:
```
BaLaSe4
1.0
0.0000 4.3021 4.3021
4.3021 0.0000 4.3021
4.3021 4.3021 0.0000
Ba La Se
1 1 4
Direct
0.0000 0.0000 0.0000
0.7500 0.7500 0.7500
0.3756 0.3756 0.3756
0.3756 0.3756 0.8731
0.3756 0.8731 0.3756
0.8731 0.3756 0.3756
```

E = -24.2 eV/f.u.
E_form (uncorrected) = -570 meV/atom